No. 1
! ScBeNb PBE-GGA relaxed; values from VASP
&SYSTEM
  ibrav = 0, nat = 6, ntyp = 3
/
ATOMIC_SPECIES
Sc 44.96 Sc.upf
Be 9.01 Be.upf
Nb 92.91 Nb.upf
CELL_PARAMETERS angstrom
4.669 -1.838 0.000
4.669 1.838 0.000
-3.957 0.000 5.931
ATOMIC_POSITIONS crystal
Sc 0.074 0.074 0.338
Sc 0.926 0.926 0.662
Be 0.369 0.369 0.336
Be 0.631 0.631 0.664
Nb 0.326 0.326 0.930
Nb 0.674 0.674 0.070
! Distance to the lowest polymorph of the same formula   0.032 eV per atom
! ΔH_f (0 K)   24 meV per atom



No. 2
! InReB2N PBE-GGA relaxed; values from VASP
&SYSTEM
  ibrav = 0, nat = 5, ntyp = 4
/
ATOMIC_SPECIES
In 114.82 In.upf
Re 186.21 Re.upf
B 10.81 B.upf
N 14.01 N.upf
CELL_PARAMETERS angstrom
4.335 0.000 0.000
0.000 4.335 0.000
0.000 0.000 3.872
ATOMIC_POSITIONS crystal
In 0.000 0.000 0.000
Re 0.500 0.500 0.500
B 0.000 0.500 0.500
B 0.500 0.000 0.500
N 0.500 0.500 0.000
! Energy relative to the elements, uncorrected   0.911 eV/atom